# Ba2TeF meta-GGA SCAN PBEsol geometry
# VASP energy = -32.2792 eV/atom
data_Ba2TeF
_cell_length_a 8.051
_cell_length_b 8.051
_cell_length_c 8.146
_cell_angle_alpha 90.00
_cell_angle_beta 90.00
_cell_angle_gamma 90.00
_space_group_name_H-M_alt 'I -4 2 d'
_space_group_IT_number 122
_space_group_name_Hall 'I -4 2bw'
loop_
_atom_site_label
_atom_site_fract_x
_atom_site_fract_y
_atom_site_fract_z
Ba1 0.175 0.750 0.125
Te1 0.000 0.000 0.500
F1 0.000 0.000 0.000

***

# Ba2Ti2F11 meta-GGA SCAN PBEsol geometry
# VASP energy = -13.7792 eV/atom
data_Ba2Ti2F11
_cell_length_a 7.4208
_cell_length_b 7.4208
_cell_length_c 13.7223
_cell_angle_alpha 90.00
_cell_angle_beta 90.00
_cell_angle_gamma 120.00
_space_group_name_H-M_alt 'P 32'
_space_group_IT_number 145
_space_group_name_Hall 'P 32'
loop_
_atom_site_label
_atom_site_fract_x
_atom_site_fract_y
_atom_site_fract_z
Ba1 0.0553 0.2274 0.0000
Ba2 0.5174 0.1782 0.8064
Ti1 0.1439 0.5158 0.7494
Ti2 0.3232 0.2456 0.5802
F1 0.0483 0.1671 0.5429
F2 0.0635 0.5246 0.6253
F3 0.0802 0.6933 0.0485
F4 0.1545 0.5900 0.8883
F5 0.2003 0.0277 0.6763
F6 0.2294 0.6280 0.4154
F7 0.2919 0.0496 0.1357
F8 0.3416 0.0320 0.5162
F9 0.4067 0.3339 0.4377
F10 0.4122 0.3112 0.9685
F11 0.6006 0.2092 0.2906

***

# BaTiZnF7 meta-GGA SCAN PBEsol geometry
# VASP energy = -12.8360 eV/atom
data_BaTiZnF7
_cell_length_a 5.623
_cell_length_b 9.919
_cell_length_c 9.553
_cell_angle_alpha 90.00
_cell_angle_beta 92.82
_cell_angle_gamma 90.00
_space_group_name_H-M_alt 'P 1 21/c 1'
_space_group_IT_number 14
_space_group_name_Hall '-P 2ybc'
loop_
_atom_site_label
_atom_site_fract_x
_atom_site_fract_y
_atom_site_fract_z
Ba1 0.236 0.183 0.001
Ti1 0.304 0.610 0.189
Zn1 0.195 0.602 0.810
F1 0.017 0.710 0.248
F2 0.106 0.540 0.624
F3 0.135 0.056 0.626
F4 0.242 0.694 0.003
F5 0.382 0.057 0.379
F6 0.395 0.541 0.368
F7 0.476 0.719 0.750

***

# Ba2TlF2 meta-GGA SCAN PBEsol geometry
# VASP energy = -34.3098 eV/atom
data_Ba2TlF2
_cell_length_a 4.269
_cell_length_b 4.269
_cell_length_c 15.357
_cell_angle_alpha 90.00
_cell_angle_beta 90.00
_cell_angle_gamma 90.00
_space_group_name_H-M_alt 'I 4/m m m'
_space_group_IT_number 139
_space_group_name_Hall '-I 4 2'
loop_
_atom_site_label
_atom_site_fract_x
_atom_site_fract_y
_atom_site_fract_z
Ba1 0.000 0.000 0.150
Tl1 0.000 0.000 0.500
F1 0.000 0.500 0.250

***

# BaVZnF7 meta-GGA SCAN PBEsol geometry
# VASP energy = -12.8547 eV/atom
data_BaVZnF7
_cell_length_a 5.575
_cell_length_b 9.875
_cell_length_c 9.530
_cell_angle_alpha 90.00
_cell_angle_beta 92.95
_cell_angle_gamma 90.00
_space_group_name_H-M_alt 'P 1 21/c 1'
_space_group_IT_number 14
_space_group_name_Hall '-P 2ybc'
loop_
_atom_site_label
_atom_site_fract_x
_atom_site_fract_y
_atom_site_fract_z
Ba1 0.239 0.182 0.001
V1 0.305 0.612 0.188
Zn1 0.195 0.601 0.811
F1 0.020 0.707 0.249
F2 0.111 0.542 0.623
F3 0.138 0.052 0.628
F4 0.239 0.693 0.003
F5 0.388 0.057 0.379
F6 0.390 0.542 0.367
F7 0.477 0.721 0.749

***

# Ba3Y2F12 meta-GGA SCAN PBEsol geometry
# VASP energy = -17.0413 eV/atom
data_Ba3Y2F12
_cell_length_a 9.595
_cell_length_b 9.595
_cell_length_c 5.714
_cell_angle_alpha 90.00
_cell_angle_beta 90.00
_cell_angle_gamma 90.00
_space_group_name_H-M_alt 'P 4/m b m'
_space_group_IT_number 127
_space_group_name_Hall '-P 4 2ab'
loop_
_atom_site_label
_atom_site_fract_x
_atom_site_fract_y
_atom_site_fract_z
Ba1 0.000 0.000 0.000
Ba2 0.179 0.321 0.500
Y1 0.134 0.634 0.000
F1 0.000 0.500 0.234
F2 0.060 0.781 0.262
F3 0.199 0.301 0.000

***

# Ba3Y2F12 meta-GGA SCAN PBEsol geometry
# VASP energy = -16.9661 eV/atom
data_Ba3Y2F12
_cell_length_a 9.819
_cell_length_b 10.811
_cell_length_c 14.319
_cell_angle_alpha 90.00
_cell_angle_beta 131.42
_cell_angle_gamma 90.00
_space_group_name_H-M_alt 'P 1 21/c 1'
_space_group_IT_number 14
_space_group_name_Hall '-P 2ybc'
loop_
_atom_site_label
_atom_site_fract_x
_atom_site_fract_y
_atom_site_fract_z
Ba1 0.114 0.119 0.462
Ba2 0.180 0.008 0.193
Ba3 0.216 0.747 0.936
Y1 0.291 0.130 0.835
Y2 0.447 0.693 0.286
F1 0.088 0.103 0.637
F2 0.094 0.624 0.513
F3 0.120 0.213 0.286
F4 0.154 0.507 0.351
F5 0.189 0.748 0.736
F6 0.234 0.527 0.892
F7 0.238 0.606 0.105
F8 0.262 0.170 0.084
F9 0.458 0.234 0.322
F10 0.469 0.503 0.354
F11 0.480 0.205 0.024
F12 0.497 0.113 0.678

***

# BaY3F meta-GGA SCAN PBEsol geometry
# VASP energy = -24.3625 eV/atom
data_BaY3F
_cell_length_a 5.661
_cell_length_b 5.661
_cell_length_c 5.661
_cell_angle_alpha 90.00
_cell_angle_beta 90.00
_cell_angle_gamma 90.00
_space_group_name_H-M_alt 'P m -3 m'
_space_group_IT_number 221
_space_group_name_Hall '-P 4 2 3'
loop_
_atom_site_label
_atom_site_fract_x
_atom_site_fract_y
_atom_site_fract_z
Ba1 0.000 0.000 0.000
Y1 0.000 0.000 0.500
F1 0.500 0.500 0.500

***

# Ba3YF meta-GGA SCAN PBEsol geometry
# VASP energy = -30.9884 eV/atom
data_Ba3YF
_cell_length_a 5.642
_cell_length_b 5.642
_cell_length_c 5.642
_cell_angle_alpha 90.00
_cell_angle_beta 90.00
_cell_angle_gamma 90.00
_space_group_name_H-M_alt 'P m -3 m'
_space_group_IT_number 221
_space_group_name_Hall '-P 4 2 3'
loop_
_atom_site_label
_atom_site_fract_x
_atom_site_fract_y
_atom_site_fract_z
Ba1 0.000 0.000 0.500
Y1 0.500 0.500 0.500
F1 0.000 0.000 0.000

***

# BaZnF4 meta-GGA SCAN PBEsol geometry
# VASP energy = -14.5314 eV/atom
data_BaZnF4
_cell_length_a 4.189
_cell_length_b 14.536
_cell_length_c 5.848
_cell_angle_alpha 90.00
_cell_angle_beta 90.00
_cell_angle_gamma 90.00
_space_group_name_H-M_alt 'C m c 21'
_space_group_IT_number 36
_space_group_name_Hall 'C 2c -2'
loop_
_atom_site_label
_atom_site_fract_x
_atom_site_fract_y
_atom_site_fract_z
Ba1 0.000 0.148 0.000
Zn1 0.000 0.413 0.042
F1 0.000 0.076 0.557
F2 0.000 0.301 0.241
F3 0.000 0.332 0.771
F4 0.000 0.469 0.372

***

# Ba3ZrF10 meta-GGA SCAN PBEsol geometry
# VASP energy = -17.3398 eV/atom
data_Ba3ZrF10
_cell_length_a 10.960
_cell_length_b 13.250
_cell_length_c 6.071
_cell_angle_alpha 90.00
_cell_angle_beta 90.00
_cell_angle_gamma 90.00
_space_group_name_H-M_alt 'C m c m'
_space_group_IT_number 63
_space_group_name_Hall '-C 2c 2'
loop_
_atom_site_label
_atom_site_fract_x
_atom_site_fract_y
_atom_site_fract_z
Ba1 0.000 0.111 0.250
Ba2 0.214 0.388 0.250
Zr1 0.000 0.320 0.750
F1 0.000 0.398 0.042
F2 0.117 0.231 0.539
F3 0.139 0.000 0.000
F4 0.162 0.406 0.750

***

# Ba2ZrF8 meta-GGA SCAN PBEsol geometry
# VASP energy = -16.7156 eV/atom
data_Ba2ZrF8
_cell_length_a 9.692
_cell_length_b 5.584
_cell_length_c 11.856
_cell_angle_alpha 90.00
_cell_angle_beta 90.00
_cell_angle_gamma 90.00
_space_group_name_H-M_alt 'P n m a'
_space_group_IT_number 62
_space_group_name_Hall '-P 2ac 2n'
loop_
_atom_site_label
_atom_site_fract_x
_atom_site_fract_y
_atom_site_fract_z
Ba1 0.053 0.250 0.160
Ba2 0.138 0.250 0.559
Zr1 0.242 0.750 0.359
F1 0.091 0.012 0.362
F2 0.136 0.750 0.192
F3 0.144 0.015 0.963
F4 0.146 0.750 0.525
F5 0.157 0.010 0.755